The following is a DFT calculation (GGA-PBE) of crystalline H4Pd3Pt at its relaxed geometry.

a = 5.8233 Å, b = 5.1406 Å, c = 5.1327 Å
α = 90.00°, β = 90.00°, γ = 90.00°
Fractional positions:
H 0.0000 0.1582 0.0000
H 0.0000 0.8312 0.5141
H 0.2439 0.6694 0.9994
H 0.2561 0.3306 0.4994
H 0.5000 0.1688 0.0141
H 0.5000 0.8418 0.5000
H 0.7439 0.3306 0.4994
H 0.7561 0.6694 0.9994
Pd 0.0000 0.1602 0.3568
Pd 0.2501 0.3377 0.8564
Pd 0.2499 0.6623 0.3564
Pd 0.5000 0.8398 0.8568
Pd 0.7499 0.3377 0.8564
Pd 0.7501 0.6623 0.3564
Pt 0.0000 0.8372 0.8593
Pt 0.5000 0.1628 0.3593

Results
The calculated volume comes out at 9.6 Å³/atom. For the size of the total moment, the calculation gives 0.00 μB/atom. The energy is -4.44 eV per atom. Its symmetry is Pmn2_1, No. 31.

The following is a DFT calculation (GGA-PBE) of crystalline HPd2Pt2 at its relaxed geometry.

a = 2.7951 Å, b = 2.7951 Å, c = 9.5131 Å
α = 90.12°, β = 90.12°, γ = 59.97°
Fractional positions:
H 0.0000 0.0000 0.0000
Pd 0.3350 0.3350 0.1292
Pd 0.6650 0.6650 0.8708
Pt 0.3318 0.3318 0.6244
Pt 0.6682 0.6682 0.3756

Results
The calculated volume comes out at 12.9 Å³/atom. For the size of the total moment, the calculation gives 0.00 μB/atom. The energy is -5.18 eV per atom. Its symmetry is C2/m, No. 12.

The following is a DFT calculation (GGA-PBE) of crystalline H2PdPt2 at its relaxed geometry.

a = 6.7543 Å, b = 6.7543 Å, c = 2.7777 Å
α = 90.00°, β = 90.00°, γ = 90.00°
Fractional positions:
H 0.2440 0.2560 0.0000
H 0.2560 0.7560 0.0000
H 0.7440 0.2440 0.0000
H 0.7560 0.7440 0.0000
Pd 0.0000 0.0000 0.5000
Pd 0.5000 0.5000 0.5000
Pt 0.1377 0.3623 0.5000
Pt 0.3623 0.8623 0.5000
Pt 0.6377 0.1377 0.5000
Pt 0.8623 0.6377 0.5000

Results
The calculated volume comes out at 12.7 Å³/atom. For the size of the total moment, the calculation gives 0.00 μB/atom. The energy is -4.51 eV per atom. Its symmetry is P4/mbm, No. 127.

Q: Among the records above, which one has the lowest energy?
A: HPd2Pt2

Q: Which of these has the highest energy?
A: H4Pd3Pt

Copy entry 1 word for word.
The following is a DFT calculation (GGA-PBE) of crystalline H4Pd3Pt at its relaxed geometry.

a = 5.8233 Å, b = 5.1406 Å, c = 5.1327 Å
α = 90.00°, β = 90.00°, γ = 90.00°
Fractional positions:
H 0.0000 0.1582 0.0000
H 0.0000 0.8312 0.5141
H 0.2439 0.6694 0.9994
H 0.2561 0.3306 0.4994
H 0.5000 0.1688 0.0141
H 0.5000 0.8418 0.5000
H 0.7439 0.3306 0.4994
H 0.7561 0.6694 0.9994
Pd 0.0000 0.1602 0.3568
Pd 0.2501 0.3377 0.8564
Pd 0.2499 0.6623 0.3564
Pd 0.5000 0.8398 0.8568
Pd 0.7499 0.3377 0.8564
Pd 0.7501 0.6623 0.3564
Pt 0.0000 0.8372 0.8593
Pt 0.5000 0.1628 0.3593

Results
The calculated volume comes out at 9.6 Å³/atom. For the size of the total moment, the calculation gives 0.00 μB/atom. The energy is -4.44 eV per atom. Its symmetry is Pmn2_1, No. 31.

Q: The lowest calculated volume belongs to which entry?
A: H4Pd3Pt